No. 1
Compound: Mn3BePt
Source: Alexandria via LeMat-Bulk
Functional: meta-GGA SCAN
Structure: PBEsol geometry

a b c (Å): 3.8384 3.8384 3.8384
angles (deg): 90.00 90.00 90.00
Each line ends with the local moment (μB).
Positions (direct):
1 Mn 0.5000 0.0000 0.0000  2.87
2 Mn 0.0000 0.0000 0.5000  2.87
3 Mn 0.0000 0.5000 0.0000  2.87
4 Be 0.0000 0.0000 0.0000  -0.22
5 Pt 0.5000 0.5000 0.5000  0.07

E_form	353	meV per atom
VASP energy	-25.509	eV per atom
symmetry	Pm-3m, No. 221
size of the total moment	8.54	μB/f.u.

***

No. 2
Compound: Ni6SnTe2
Source: Alexandria via LeMat-Bulk
Functional: meta-GGA SCAN
Structure: PBEsol geometry

a b c (Å): 3.7350 3.7350 9.8657
angles (deg): 100.91 100.91 90.00
Positions (direct):
1 Ni 0.5941 0.0941 0.1882
2 Ni 0.4043 0.9043 0.8086
3 Ni 0.0941 0.5941 0.1882
4 Ni 0.1903 0.1903 0.3807
5 Ni 0.9043 0.4043 0.8086
6 Ni 0.4983 0.4983 0.9966
7 Sn 0.9999 0.9999 0.9997
8 Te 0.3201 0.3201 0.6402
9 Te 0.6850 0.6850 0.3700

VASP energy	-23.200	eV per atom
symmetry	I4mm, No. 107
size of the total moment	0.00	μB/f.u.

***

No. 3
Compound: Ho5Mg24
Source: Alexandria via LeMat-Bulk
Functional: meta-GGA SCAN
Structure: PBEsol geometry

a b c (Å): 9.6505 9.6505 9.6505
angles (deg): 109.47 109.47 109.47
Each line ends with the local moment (μB).
Positions (direct):
1 Mg 0.3896 0.3896 0.7129  0.00
2 Mg 0.0000 0.6104 0.3232  0.00
3 Mg 0.0000 0.6290 0.8092  0.01
4 Mg 0.6768 0.2871 0.6768  0.00
5 Mg 0.2871 0.6768 0.6768  0.00
6 Mg 0.6104 0.3232 0.0000  0.00
7 Mg 0.0000 0.3232 0.6104  0.00
8 Mg 0.1802 0.3710 0.3710  0.01
9 Mg 0.1908 0.8198 0.1908  0.01
10 Mg 0.6768 0.6768 0.2871  0.00
11 Mg 0.6290 0.8092 0.0000  0.01
12 Mg 0.6104 0.0000 0.3232  0.00
13 Mg 0.7129 0.3896 0.3896  0.00
14 Mg 0.8198 0.1908 0.1908  0.01
15 Mg 0.3896 0.7129 0.3896  0.00
16 Mg 0.8092 0.6290 0.0000  0.01
17 Mg 0.1908 0.1908 0.8198  0.01
18 Mg 0.6290 0.0000 0.8092  0.01
19 Mg 0.3710 0.1802 0.3710  0.01
20 Mg 0.3232 0.0000 0.6104  0.00
21 Mg 0.3232 0.6104 0.0000  0.00
22 Mg 0.8092 0.0000 0.6290  0.01
23 Mg 0.3710 0.3710 0.1802  0.01
24 Mg 0.0000 0.8092 0.6290  0.01
25 Ho 0.0000 0.0000 0.3724  0.08
26 Ho 0.3724 0.0000 0.0000  0.08
27 Ho 0.6276 0.6276 0.6276  0.08
28 Ho 0.0000 0.3724 0.0000  0.08
29 Ho 0.0000 0.0000 0.0000  -0.01

E_form	-48	meV per atom
VASP energy	-12.610	eV per atom
symmetry	I-43m, No. 217
size of the total moment	1.17	μB/f.u.

***

No. 4
Compound: CsAgCl3
Source: Alexandria via LeMat-Bulk
Functional: meta-GGA SCAN
Structure: PBEsol geometry

a b c (Å): 7.1444 7.2402 7.1444
angles (deg): 119.56 90.00 119.56
Positions (direct):
1 Ag 0.0000 0.0000 0.0000
2 Ag 0.5000 0.0000 0.5000
3 Cl 0.7593 0.0000 0.2407
4 Cl 0.7318 0.4636 0.7318
5 Cl 0.7593 0.0000 0.7593
6 Cl 0.2407 0.0000 0.7593
7 Cl 0.2407 0.0000 0.2407
8 Cl 0.2682 0.5364 0.2682
9 Cs 0.2500 0.5000 0.7500
10 Cs 0.7500 0.5000 0.2500

VASP energy	-19.894	eV per atom
symmetry	I4/mmm, No. 139
size of the total moment	0.00	μB/f.u.

***

No. 5
Compound: HfNbTe2N
Source: Alexandria via LeMat-Bulk
Functional: meta-GGA SCAN
Structure: PBEsol geometry

a b c (Å): 3.8261 5.4561 5.4561
angles (deg): 90.00 90.00 90.00
Positions (direct):
1 Nb 0.0000 0.0000 0.0000
2 Hf 0.5000 0.5000 0.5000
3 Te 0.0000 0.0000 0.5000
4 Te 0.0000 0.5000 0.0000
5 N 0.5000 0.0000 0.0000

VASP energy	-35.725	eV per atom
symmetry	P4/mmm, No. 123
size of the total moment	0.00	μB/f.u.

***

No. 6
Compound: In2FeCuHg
Source: Alexandria via LeMat-Bulk
Functional: meta-GGA SCAN
Structure: PBEsol geometry

a b c (Å): 4.8586 4.8586 4.9131
angles (deg): 90.00 90.00 90.00
Each line ends with the local moment (μB).
Positions (direct):
1 In 0.5000 0.0000 0.0000  -0.08
2 In 0.0000 0.5000 0.0000  -0.08
3 Fe 0.0000 0.0000 0.0000  2.34
4 Hg 0.0000 0.0000 0.5000  -0.02
5 Cu 0.5000 0.5000 0.5000  0.03

E_form	643	meV per atom
VASP energy	-33.010	eV per atom
symmetry	P4/mmm, No. 123
size of the total moment	2.17	μB/f.u.